(1)
Y3Al3V2O12 at its PBEsol-relaxed geometry. Source: Alexandria via LeMat-Bulk, functional SCAN.

The structure in POSCAR format:
```
Y3Al3V2O12
1.0
10.510 0.000 0.000
-3.503 9.909 0.000
-3.503 -4.954 8.581
O Al V Y
48 12 8 12
direct
0.598 0.475 0.684 O
0.914 0.316 0.791 O
0.291 0.914 0.816 O
0.086 0.684 0.209 O
0.525 0.709 0.123 O
0.475 0.184 0.098 O
0.098 0.414 0.123 O
0.184 0.586 0.709 O
0.816 0.414 0.291 O
0.402 0.525 0.316 O
0.975 0.877 0.291 O
0.209 0.184 0.086 O
0.025 0.123 0.709 O
0.316 0.025 0.402 O
0.316 0.291 0.414 O
0.877 0.086 0.902 O
0.791 0.816 0.914 O
0.623 0.098 0.914 O
0.475 0.291 0.877 O
0.291 0.377 0.975 O
0.623 0.525 0.209 O
0.123 0.209 0.525 O
0.025 0.902 0.816 O
0.709 0.623 0.025 O
0.902 0.586 0.877 O
0.709 0.086 0.184 O
0.684 0.709 0.586 O
0.184 0.598 0.975 O
0.377 0.475 0.791 O
0.684 0.975 0.598 O
0.877 0.791 0.475 O
0.414 0.791 0.316 O
0.414 0.623 0.598 O
0.098 0.684 0.475 O
0.586 0.377 0.402 O
0.586 0.209 0.684 O
0.914 0.598 0.623 O
0.791 0.975 0.377 O
0.402 0.877 0.586 O
0.902 0.316 0.525 O
0.086 0.402 0.377 O
0.816 0.402 0.025 O
0.975 0.098 0.184 O
0.377 0.902 0.086 O
0.123 0.914 0.098 O
0.525 0.816 0.902 O
0.209 0.025 0.623 O
0.598 0.123 0.414 O
0.375 0.625 0.750 Al
0.625 0.375 0.250 Al
0.875 0.125 0.750 Al
0.250 0.875 0.625 Al
0.125 0.250 0.375 Al
0.375 0.750 0.125 Al
0.250 0.375 0.125 Al
0.750 0.625 0.875 Al
0.125 0.875 0.250 Al
0.875 0.750 0.625 Al
0.750 0.125 0.375 Al
0.625 0.250 0.875 Al
0.500 0.500 0.500 V
0.000 0.500 0.000 V
0.500 0.500 0.000 V
0.000 0.000 0.000 V
0.000 0.000 0.500 V
0.000 0.500 0.500 V
0.500 0.000 0.000 V
0.500 0.000 0.500 V
0.875 0.625 0.250 Y
0.125 0.750 0.875 Y
0.625 0.750 0.375 Y
0.750 0.875 0.125 Y
0.375 0.125 0.250 Y
0.875 0.250 0.125 Y
0.375 0.250 0.625 Y
0.625 0.875 0.750 Y
0.125 0.375 0.750 Y
0.250 0.125 0.875 Y
0.250 0.625 0.375 Y
0.750 0.375 0.625 Y
```

Computed properties:
* uncorrected formation energy: -3.43 eV/atom

---

(2)
Co4Pt5 at its PBEsol-relaxed geometry. Source: Alexandria via LeMat-Bulk, functional SCAN.

The structure in POSCAR format:
```
Co4Pt5
1.0
3.772 0.000 0.000
1.886 5.604 0.000
1.886 0.000 5.604
Co Pt
4 5
direct
0.000 0.349 0.651 Co
0.651 0.349 0.349 Co
0.349 0.651 0.651 Co
0.000 0.651 0.349 Co
0.329 0.341 0.000 Pt
0.329 0.000 0.341 Pt
0.671 0.659 0.000 Pt
0.000 0.000 0.000 Pt
0.671 0.000 0.659 Pt
```

Computed properties:
* E_form: -0.113 eV/atom

---

(3)
InFeCo at its PBEsol-relaxed geometry. Source: Alexandria via LeMat-Bulk, functional SCAN.

The structure in POSCAR format:
```
InFeCo
1.0
2.990 0.000 0.000
0.000 2.990 0.000
-1.495 -1.495 4.608
Co Fe In
1 1 1
direct
0.019 0.019 0.038 Co
0.646 0.646 0.293 Fe
0.335 0.335 0.670 In
```

Computed properties:
* excess energy over the best structure of this formula in the dataset: 0.000 eV/atom
* E_form: 0.081 eV/atom

---

(4)
Ca2SbRu at its PBEsol-relaxed geometry. Source: Alexandria via LeMat-Bulk, functional SCAN.

The structure in POSCAR format:
```
Ca2SbRu
1.0
-0.290 -3.356 0.388
3.088 -0.422 -1.336
3.500 0.611 7.897
Sb Ca Ru
1 2 1
direct
0.500 0.500 0.689 Sb
0.500 0.500 0.319 Ca
0.000 0.000 0.942 Ca
0.000 0.000 0.550 Ru
```

Computed properties:
* uncorrected formation energy: -0.25 eV/atom

---

(5)
LaZrSb at its PBEsol-relaxed geometry. Source: Alexandria via LeMat-Bulk, functional SCAN.

The structure in POSCAR format:
```
LaZrSb
1.0
3.428 0.000 0.000
-1.714 2.969 0.000
0.000 0.000 7.805
Zr Sb La
1 1 1
direct
0.667 0.333 0.354 Zr
0.333 0.667 0.646 Sb
0.000 0.000 0.001 La
```

Computed properties:
* uncorrected formation energy: -0.20 eV/atom

---

(6)
TlRh2Au at its PBEsol-relaxed geometry. Source: Alexandria via LeMat-Bulk, functional SCAN.

The structure in POSCAR format:
```
TlRh2Au
1.0
4.522 0.000 0.000
2.261 3.916 0.000
2.261 1.305 3.692
Rh Tl Au
2 1 1
direct
0.000 0.000 0.000 Rh
0.750 0.750 0.750 Rh
0.250 0.250 0.250 Tl
0.500 0.500 0.500 Au
```

Computed properties:
* E_form: 0.290 eV/atom

---

(7)
MnFe3 at its PBEsol-relaxed geometry. Source: Alexandria via LeMat-Bulk, functional SCAN.

The structure in POSCAR format:
```
MnFe3
1.0
2.435 0.000 0.000
0.000 4.215 0.000
-1.218 -2.107 3.847
Fe Mn
3 1
direct
0.250 0.250 0.499 Fe
0.500 0.166 0.000 Fe
0.750 0.751 0.501 Fe
0.000 0.666 0.000 Mn
```

Computed properties:
* E_form: 0.376 eV/atom

---

(8)
ZrBiSb2 at its PBEsol-relaxed geometry. Source: Alexandria via LeMat-Bulk, functional SCAN.

The structure in POSCAR format:
```
ZrBiSb2
1.0
-1.072 -3.215 -5.822
6.034 -2.950 0.517
-5.246 -1.993 5.964
Bi Zr Sb
2 2 4
direct
0.250 0.750 0.500 Bi
0.000 0.000 0.000 Bi
0.750 0.250 0.500 Zr
0.500 0.500 0.000 Zr
0.125 0.154 0.750 Sb
0.846 0.375 0.250 Sb
0.625 0.596 0.750 Sb
0.404 0.875 0.250 Sb
```

Computed properties:
* uncorrected formation energy: 0.19 eV/atom

---

(9)
BeCo2Pb at its PBEsol-relaxed geometry. Source: Alexandria via LeMat-Bulk, functional SCAN.

The structure in POSCAR format:
```
BeCo2Pb
1.0
2.924 0.000 -0.034
0.000 3.891 0.000
-1.391 0.000 4.761
Co Be Pb
2 1 1
direct
0.182 0.000 0.992 Co
0.772 0.500 0.171 Co
0.096 0.500 0.816 Be
0.450 0.000 0.521 Pb
```

Computed properties:
* E_form: 0.467 eV/atom

---

(10)
PtPb2 at its PBEsol-relaxed geometry. Source: Alexandria via LeMat-Bulk, functional SCAN.

The structure in POSCAR format:
```
PtPb2
1.0
-3.284 -0.657 1.408
-0.437 -5.318 -3.500
2.770 -3.429 4.863
Pb Pt
4 2
direct
0.000 0.205 0.368 Pb
0.500 0.705 0.132 Pb
0.000 0.795 0.632 Pb
0.500 0.295 0.868 Pb
0.500 0.500 0.500 Pt
0.000 0.000 0.000 Pt
```

Computed properties:
* E_form: -0.199 eV/atom

---

Calculated magnetization in order - 4.000 9.259 4.485 0.284 0.002 1.065 0.001 0.911 2.754 0.000 μB/f.u.
Calculated D(E_F) in order - 0.597 0.734 0.508 0.634 1.407 0.954 1.130 0.884 0.467 0.545 states/eV/atom